(1)
Material: ZnTcS3
Method: DFT, PBE
State: relaxed

Summary:
- total magnetic moment (Bohr magnetons per cell) = 0.00
- symmetry = Pm-3m (221)
- volume (Å³ per cell) = 100.4

Cell lengths 4.6477, 4.6477, 4.6477 Å; angles 90.00, 90.00, 90.00 degrees
Element x y z (fractional)
Zn 0.0000 0.0000 0.0000
Tc 0.5000 0.5000 0.5000
S 0.0000 0.5000 0.5000
S 0.5000 0.0000 0.5000
S 0.5000 0.5000 0.0000

***

(2)
Material: ZnTcS3
Method: DFT, PBE
State: relaxed

Summary:
- total magnetic moment (Bohr magnetons per cell) = 3.69
- symmetry = Pm-3m (221)
- volume (Å³ per cell) = 99.4

Cell lengths 4.6327, 4.6327, 4.6327 Å; angles 90.00, 90.00, 90.00 degrees
Element x y z (fractional)
Zn 0.0000 0.0000 0.0000
Tc 0.5000 0.5000 0.5000
S 0.0000 0.0000 0.5000
S 0.0000 0.5000 0.0000
S 0.5000 0.0000 0.0000

***

The least stable of them is (2).

***

(1)
Material: ZnTc3S
Method: DFT, PBE
State: relaxed

Summary:
- total magnetic moment (Bohr magnetons per cell) = 3.65
- symmetry = Pm-3m (221)
- volume (Å³ per cell) = 94.5

Cell lengths 4.5555, 4.5555, 4.5555 Å; angles 90.00, 90.00, 90.00 degrees
Element x y z (fractional)
Zn 0.0000 0.0000 0.0000
Tc 0.0000 0.0000 0.5000
Tc 0.0000 0.5000 0.0000
Tc 0.5000 0.0000 0.0000
S 0.5000 0.5000 0.5000

***

(2)
Material: ZnTc3S
Method: DFT, PBE
State: relaxed

Summary:
- total magnetic moment (Bohr magnetons per cell) = 1.82
- symmetry = Pm-3m (221)
- volume (Å³ per cell) = 82.1

Cell lengths 4.3455, 4.3455, 4.3455 Å; angles 90.00, 90.00, 90.00 degrees
Element x y z (fractional)
Zn 0.0000 0.0000 0.0000
Tc 0.0000 0.5000 0.5000
Tc 0.5000 0.0000 0.5000
Tc 0.5000 0.5000 0.0000
S 0.5000 0.5000 0.5000

***

The least stable of them is (1).

***

(1)
Material: ZrTcS3
Method: DFT, PBE
State: relaxed

Summary:
- total magnetic moment (Bohr magnetons per cell) = 1.24
- symmetry = Pm-3m (221)
- volume (Å³ per cell) = 96.4

Cell lengths 4.5858, 4.5858, 4.5858 Å; angles 90.00, 90.00, 90.00 degrees
Element x y z (fractional)
Zr 0.0000 0.0000 0.0000
Tc 0.5000 0.5000 0.5000
S 0.0000 0.5000 0.5000
S 0.5000 0.0000 0.5000
S 0.5000 0.5000 0.0000

***

(2)
Material: ZrTcS3
Method: DFT, PBE
State: relaxed

Summary:
- total magnetic moment (Bohr magnetons per cell) = 5.00
- symmetry = Pm-3m (221)
- volume (Å³ per cell) = 121.7

Cell lengths 4.9554, 4.9554, 4.9554 Å; angles 90.00, 90.00, 90.00 degrees
Element x y z (fractional)
Zr 0.0000 0.0000 0.0000
Tc 0.5000 0.5000 0.5000
S 0.0000 0.0000 0.5000
S 0.0000 0.5000 0.0000
S 0.5000 0.0000 0.0000

***

The least stable of them is (2).